# AlHgTeRu2 | Alexandria | PBE-GGA | relaxed
data_AlHgTeRu2
_cell_length_a 4.867
_cell_length_b 4.867
_cell_length_c 5.160
_cell_angle_alpha 90.00
_cell_angle_beta 90.00
_cell_angle_gamma 90.00
_symmetry_space_group_name_H-M 'P 4/m m m'
_symmetry_Int_Tables_number 123
_symmetry_space_group_name_Hall '-P 4 2'
loop_
_atom_site_label
_atom_site_type_symbol
_atom_site_fract_x
_atom_site_fract_y
_atom_site_fract_z
_atom_site_occupancy
Al1 Al 0.000 0.000 0.000 1
Hg1 Hg 0.500 0.500 0.000 1
Te1 Te 0.000 0.000 0.500 1
Ru1 Ru 0.000 0.500 0.500 1
# - Spin magnetization: 0.7 μB/cell
# - N(E_F): 5.86 states/eV/cell
# - Formation energy from raw total energies: 6.4 eV per formula unit

# CrH2 | Alexandria | PBE-GGA | relaxed
data_CrH2
_cell_length_a 5.979
_cell_length_b 5.979
_cell_length_c 5.979
_cell_angle_alpha 90.00
_cell_angle_beta 90.00
_cell_angle_gamma 90.00
_symmetry_space_group_name_H-M 'F m -3 m'
_symmetry_Int_Tables_number 225
_symmetry_space_group_name_Hall '-F 4 2 3'
loop_
_atom_site_label
_atom_site_type_symbol
_atom_site_fract_x
_atom_site_fract_y
_atom_site_fract_z
_atom_site_occupancy
Cr1 Cr 0.000 0.000 0.000 1
Cr2 Cr 0.250 0.250 0.250 1
H1 H 0.000 0.000 0.275 1
# - Total DFT energy (no corrections): -5.279 eV per atom
# - Spin magnetization: 14.2 μB/cell
# - N(E_F): 17.11 states/eV/cell

# Be2PbF7 | Alexandria | PBE-GGA | relaxed
data_Be2PbF7
_cell_length_a 6.598
_cell_length_b 11.857
_cell_length_c 2.976
_cell_angle_alpha 90.00
_cell_angle_beta 90.00
_cell_angle_gamma 90.00
_symmetry_space_group_name_H-M 'C m m m'
_symmetry_Int_Tables_number 65
_symmetry_space_group_name_Hall '-C 2 2'
loop_
_atom_site_label
_atom_site_type_symbol
_atom_site_fract_x
_atom_site_fract_y
_atom_site_fract_z
_atom_site_occupancy
Be1 Be 0.000 0.130 0.000 1
Pb1 Pb 0.000 0.500 0.500 1
F1 F 0.000 0.000 0.000 1
F2 F 0.000 0.179 0.500 1
F3 F 0.195 0.385 0.000 1
# - Spin magnetization: 0.0 μB/cell
# - N(E_F): 4.96 states/eV/cell
# - Formation energy from raw total energies: -25.0 eV per formula unit

# HgMoW2 | Alexandria | PBE-GGA | relaxed
data_HgMoW2
_cell_length_a 2.738
_cell_length_b 2.738
_cell_length_c 9.218
_cell_angle_alpha 90.00
_cell_angle_beta 90.00
_cell_angle_gamma 90.00
_symmetry_space_group_name_H-M 'P 4 m m'
_symmetry_Int_Tables_number 99
_symmetry_space_group_name_Hall 'P 4 -2'
loop_
_atom_site_label
_atom_site_type_symbol
_atom_site_fract_x
_atom_site_fract_y
_atom_site_fract_z
_atom_site_occupancy
Hg1 Hg 0.000 0.000 0.000 1
Mo1 Mo 0.500 0.500 0.256 1
W1 W 0.000 0.000 0.499 1
W2 W 0.500 0.500 0.742 1
# - ΔH_f (0 K): 0.598 eV/atom
# - Spin magnetization: 0.0 μB/cell
# - N(E_F): 2.56 states/eV/cell

# Ag3TeF | Alexandria | PBE-GGA | relaxed
data_Ag3TeF
_cell_length_a 5.281
_cell_length_b 5.281
_cell_length_c 5.281
_cell_angle_alpha 90.00
_cell_angle_beta 90.00
_cell_angle_gamma 90.00
_symmetry_space_group_name_H-M 'P m -3 m'
_symmetry_Int_Tables_number 221
_symmetry_space_group_name_Hall '-P 4 2 3'
loop_
_atom_site_label
_atom_site_type_symbol
_atom_site_fract_x
_atom_site_fract_y
_atom_site_fract_z
_atom_site_occupancy
Ag1 Ag 0.000 0.000 0.500 1
Te1 Te 0.000 0.000 0.000 1
F1 F 0.500 0.500 0.500 1
# - ΔE to the lowest computed polymorph: 184 meV/atom
# - Spin magnetization: 0.0 μB/cell
# - N(E_F): 0.00 states/eV/cell
# - Formation energy from raw total energies: -0.4 eV per formula unit

# SmEr2CrN4 | Alexandria | PBE-GGA | relaxed
data_SmEr2CrN4
_cell_length_a 3.374
_cell_length_b 11.442
_cell_length_c 11.519
_cell_angle_alpha 90.00
_cell_angle_beta 90.00
_cell_angle_gamma 90.00
_symmetry_space_group_name_H-M 'C m c m'
_symmetry_Int_Tables_number 63
_symmetry_space_group_name_Hall '-C 2c 2'
loop_
_atom_site_label
_atom_site_type_symbol
_atom_site_fract_x
_atom_site_fract_y
_atom_site_fract_z
_atom_site_occupancy
Sm1 Sm 0.000 0.099 0.250 1
Er1 Er 0.000 0.369 0.043 1
Cr1 Cr 0.000 0.164 0.750 1
N1 N 0.000 0.000 0.000 1
N2 N 0.000 0.265 0.627 1
N3 N 0.000 0.427 0.250 1
# - Spin magnetization: 7.0 μB/cell
# - N(E_F): 13.81 states/eV/cell
# - Formation energy from raw total energies: -10.2 eV per formula unit

# KLiTa2 | Alexandria | PBE-GGA | relaxed
data_KLiTa2
_cell_length_a 5.391
_cell_length_b 12.057
_cell_length_c 2.771
_cell_angle_alpha 90.00
_cell_angle_beta 90.00
_cell_angle_gamma 90.00
_symmetry_space_group_name_H-M 'C m m m'
_symmetry_Int_Tables_number 65
_symmetry_space_group_name_Hall '-C 2 2'
loop_
_atom_site_label
_atom_site_type_symbol
_atom_site_fract_x
_atom_site_fract_y
_atom_site_fract_z
_atom_site_occupancy
K1 K 0.000 0.000 0.000 1
Li1 Li 0.000 0.500 0.000 1
Ta1 Ta 0.250 0.250 0.500 1
# - ΔH_f (0 K): 1.136 eV/atom
# - ΔE to the lowest computed polymorph: 550 meV/atom
# - Spin magnetization: 0.0 μB/cell
# - N(E_F): 8.24 states/eV/cell

# Ca6Au3N2 | Alexandria | PBE-GGA | relaxed
data_Ca6Au3N2
_cell_length_a 4.702
_cell_length_b 4.702
_cell_length_c 24.601
_cell_angle_alpha 90.00
_cell_angle_beta 90.00
_cell_angle_gamma 90.00
_symmetry_space_group_name_H-M 'I 4/m m m'
_symmetry_Int_Tables_number 139
_symmetry_space_group_name_Hall '-I 4 2'
loop_
_atom_site_label
_atom_site_type_symbol
_atom_site_fract_x
_atom_site_fract_y
_atom_site_fract_z
_atom_site_occupancy
Ca1 Ca 0.000 0.000 0.196 1
Ca2 Ca 0.000 0.500 0.086 1
Au1 Au 0.000 0.000 0.323 1
Au2 Au 0.000 0.000 0.500 1
N1 N 0.000 0.000 0.105 1
# - Spin magnetization: 0.0 μB/cell
# - N(E_F): 10.79 states/eV/cell
# - Formation energy from raw total energies: -7.6 eV per formula unit

# CdHgBr2 | Alexandria | PBE-GGA | relaxed
data_CdHgBr2
_cell_length_a 3.655
_cell_length_b 3.655
_cell_length_c 8.338
_cell_angle_alpha 90.00
_cell_angle_beta 90.00
_cell_angle_gamma 90.00
_symmetry_space_group_name_H-M 'P 4 m m'
_symmetry_Int_Tables_number 99
_symmetry_space_group_name_Hall 'P 4 -2'
loop_
_atom_site_label
_atom_site_type_symbol
_atom_site_fract_x
_atom_site_fract_y
_atom_site_fract_z
_atom_site_occupancy
Cd1 Cd 0.000 0.000 0.000 1
Hg1 Hg 0.500 0.500 0.240 1
Br1 Br 0.000 0.000 0.434 1
Br2 Br 0.500 0.500 0.811 1
# - ΔE to the lowest computed polymorph: 423 meV/atom
# - Spin magnetization: 0.0 μB/cell
# - N(E_F): 1.72 states/eV/cell
# - Formation energy from raw total energies: -0.8 eV per formula unit

# Tb3CeSm3Te8 | Alexandria | PBE-GGA | relaxed
data_Tb3CeSm3Te8
_cell_length_a 15.231
_cell_length_b 8.811
_cell_length_c 8.786
_cell_angle_alpha 90.00
_cell_angle_beta 125.18
_cell_angle_gamma 90.00
_symmetry_space_group_name_H-M 'C 1 2/m 1'
_symmetry_Int_Tables_number 12
_symmetry_space_group_name_Hall '-C 2y'
loop_
_atom_site_label
_atom_site_type_symbol
_atom_site_fract_x
_atom_site_fract_y
_atom_site_fract_z
_atom_site_occupancy
Tb1 Tb 0.000 0.000 0.000 1
Tb2 Tb 0.250 0.250 0.500 1
Ce1 Ce 0.000 0.500 0.000 1
Sm1 Sm 0.000 0.500 0.500 1
Sm2 Sm 0.250 0.250 0.000 1
Te1 Te 0.002 0.239 0.259 1
Te2 Te 0.240 0.000 0.736 1
Te3 Te 0.248 0.000 0.252 1
# - Spin magnetization: 2.8 μB/cell
# - N(E_F): 29.44 states/eV/cell
# - Formation energy from raw total energies: -20.9 eV per formula unit

# Al2TlCl | Alexandria | PBE-GGA | relaxed
data_Al2TlCl
_cell_length_a 3.231
_cell_length_b 5.106
_cell_length_c 5.913
_cell_angle_alpha 90.00
_cell_angle_beta 105.06
_cell_angle_gamma 90.00
_symmetry_space_group_name_H-M 'P 1 m 1'
_symmetry_Int_Tables_number 6
_symmetry_space_group_name_Hall 'P -2y'
loop_
_atom_site_label
_atom_site_type_symbol
_atom_site_fract_x
_atom_site_fract_y
_atom_site_fract_z
_atom_site_occupancy
Al1 Al 0.000 0.000 0.000 1
Al2 Al 0.480 0.500 0.970 1
Tl1 Tl 0.731 0.500 0.502 1
Cl1 Cl 0.188 0.000 0.406 1
# - ΔE to the lowest computed polymorph: 4 meV/atom
# - Spin magnetization: 0.0 μB/cell
# - N(E_F): 1.13 states/eV/cell
# - Formation energy from raw total energies: -0.5 eV per formula unit

> Which value of spin magnetization does entry 9 give?

0.0 μB/cell